No. 1
VASP calculation (GGA-PBE) on a relaxed structure of PuScAu4.

Calculated values
Raw total energy, eV per cell: -37.3
Density, g cm⁻³: 14.6
E_form, meV per atom: -592
SG: P4/mmm (123)
Crystal system: tetragonal

```
data_PuScAu4
_cell_length_a 3.639
_cell_length_b 3.639
_cell_length_c 9.269
_cell_angle_alpha 90.00
_cell_angle_beta 90.00
_cell_angle_gamma 90.00
_space_group_name_H-M_alt 'P 1'
_space_group_IT_number 1
loop_
_space_group_symop_operation_xyz
'x,y,z'
loop_
_atom_site_label
_atom_site_type_symbol
_atom_site_fract_x
_atom_site_fract_y
_atom_site_fract_z
Pu1 Pu 0.000 0.000 0.000
Sc1 Sc 0.500 0.500 0.500
Au1 Au 0.000 0.000 0.345
Au2 Au 0.000 0.000 0.655
Au3 Au 0.500 0.500 0.185
Au4 Au 0.500 0.500 0.815
```

=====

No. 2
VASP calculation (GGA-PBE) on a relaxed structure of PuScAu3.

Calculated values
Raw total energy, eV per cell: -65.8
Density, g cm⁻³: 12.9
E_form, meV per atom: -483
SG: P6_3/mmc (194)
Crystal system: hexagonal

```
data_PuScAu3
_cell_length_a 4.939
_cell_length_b 4.939
_cell_length_c 10.730
_cell_angle_alpha 90.00
_cell_angle_beta 90.00
_cell_angle_gamma 120.00
_space_group_name_H-M_alt 'P 1'
_space_group_IT_number 1
loop_
_space_group_symop_operation_xyz
'x,y,z'
loop_
_atom_site_label
_atom_site_type_symbol
_atom_site_fract_x
_atom_site_fract_y
_atom_site_fract_z
Pu1 Pu 0.333 0.667 0.250
Pu2 Pu 0.667 0.333 0.750
Sc1 Sc 0.000 0.000 0.000
Sc2 Sc 0.000 0.000 0.500
Au1 Au 0.000 0.000 0.250
Au2 Au 0.000 0.000 0.750
Au3 Au 0.333 0.667 0.553
Au4 Au 0.333 0.667 0.947
Au5 Au 0.667 0.333 0.053
Au6 Au 0.667 0.333 0.447
```

=====

No. 3
VASP calculation (GGA-PBE) on a relaxed structure of PuScAu.

Calculated values
Raw total energy, eV per cell: -98.4
Density, g cm⁻³: 12.6
E_form, meV per atom: -218
SG: Pnma (62)
Crystal system: orthorhombic
Energy above the most stable polymorph in this dataset, eV/atom: 0.1179

```
data_PuScAu
_cell_length_a 8.275
_cell_length_b 3.428
_cell_length_c 9.057
_cell_angle_alpha 90.00
_cell_angle_beta 90.00
_cell_angle_gamma 90.00
_space_group_name_H-M_alt 'P 1'
_space_group_IT_number 1
loop_
_space_group_symop_operation_xyz
'x,y,z'
loop_
_atom_site_label
_atom_site_type_symbol
_atom_site_fract_x
_atom_site_fract_y
_atom_site_fract_z
Pu1 Pu 0.015 0.250 0.085
Pu2 Pu 0.485 0.750 0.585
Pu3 Pu 0.515 0.250 0.415
Pu4 Pu 0.985 0.750 0.915
Sc1 Sc 0.148 0.250 0.580
Sc2 Sc 0.352 0.750 0.080
Sc3 Sc 0.648 0.250 0.920
Sc4 Sc 0.852 0.750 0.420
Au1 Au 0.183 0.750 0.342
Au2 Au 0.317 0.250 0.842
Au3 Au 0.683 0.750 0.158
Au4 Au 0.817 0.250 0.658
```

=====

No. 4
VASP calculation (GGA-PBE) on a relaxed structure of Pu5ScAu6.

Calculated values
Raw total energy, eV per cell: -103.1
Density, g cm⁻³: 14.7
E_form, meV per atom: -451
SG: P-1 (2)
Crystal system: triclinic

```
data_Pu5ScAu6
_cell_length_a 4.855
_cell_length_b 7.750
_cell_length_c 8.461
_cell_angle_alpha 68.36
_cell_angle_beta 73.59
_cell_angle_gamma 72.64
_space_group_name_H-M_alt 'P 1'
_space_group_IT_number 1
loop_
_space_group_symop_operation_xyz
'x,y,z'
loop_
_atom_site_label
_atom_site_type_symbol
_atom_site_fract_x
_atom_site_fract_y
_atom_site_fract_z
Pu1 Pu 0.000 0.000 0.000
Pu2 Pu 0.177 0.143 0.503
Pu3 Pu 0.331 0.324 0.015
Pu4 Pu 0.669 0.676 0.985
Pu5 Pu 0.823 0.857 0.497
Sc1 Sc 0.500 0.500 0.500
Au1 Au 0.073 0.573 0.281
Au2 Au 0.270 0.717 0.741
Au3 Au 0.430 0.881 0.257
Au4 Au 0.570 0.119 0.743
Au5 Au 0.730 0.283 0.259
Au6 Au 0.927 0.427 0.719
```

=====

No. 5
VASP calculation (GGA-PBE) on a relaxed structure of Pu4ScAu5.

Calculated values
Raw total energy, eV per cell: -77.8
Density, g cm⁻³: 15.3
E_form, meV per atom: 220
SG: P4/mmm (123)
Crystal system: tetragonal

```
data_Pu4ScAu5
_cell_length_a 3.861
_cell_length_b 3.861
_cell_length_c 14.634
_cell_angle_alpha 90.00
_cell_angle_beta 90.00
_cell_angle_gamma 90.00
_space_group_name_H-M_alt 'P 1'
_space_group_IT_number 1
loop_
_space_group_symop_operation_xyz
'x,y,z'
loop_
_atom_site_label
_atom_site_type_symbol
_atom_site_fract_x
_atom_site_fract_y
_atom_site_fract_z
Pu1 Pu 0.000 0.000 0.123
Pu2 Pu 0.000 0.000 0.276
Pu3 Pu 0.000 0.000 0.724
Pu4 Pu 0.000 0.000 0.877
Sc1 Sc 0.000 0.000 0.500
Au1 Au 0.500 0.500 0.000
Au2 Au 0.500 0.500 0.200
Au3 Au 0.500 0.500 0.401
Au4 Au 0.500 0.500 0.599
Au5 Au 0.500 0.500 0.800
```

=====

No. 6
VASP calculation (GGA-PBE) on a relaxed structure of PuScAu2.

Calculated values
Raw total energy, eV per cell: -29.7
Density, g cm⁻³: 13.1
E_form, meV per atom: -611
SG: P4/mmm (123)
Crystal system: tetragonal
Energy above the most stable polymorph in this dataset, eV/atom: 0.0000

```
data_PuScAu2
_cell_length_a 3.406
_cell_length_b 3.406
_cell_length_c 7.446
_cell_angle_alpha 90.00
_cell_angle_beta 90.00
_cell_angle_gamma 90.00
_space_group_name_H-M_alt 'P 1'
_space_group_IT_number 1
loop_
_space_group_symop_operation_xyz
'x,y,z'
loop_
_atom_site_label
_atom_site_type_symbol
_atom_site_fract_x
_atom_site_fract_y
_atom_site_fract_z
Pu1 Pu 0.000 0.000 0.000
Sc1 Sc 0.000 0.000 0.500
Au1 Au 0.500 0.500 0.286
Au2 Au 0.500 0.500 0.714
```

=====

No. 7
VASP calculation (GGA-PBE) on a relaxed structure of PuScSiAu.

Calculated values
Raw total energy, eV per cell: -31.2
ΔE_f (raw), meV per atom: -458.7
Density, g cm⁻³: 10.1
SG: F-43m (216)
Crystal system: cubic

```
data_PuScSiAu
_cell_length_a 4.928
_cell_length_b 4.928
_cell_length_c 4.928
_cell_angle_alpha 60.00
_cell_angle_beta 60.00
_cell_angle_gamma 60.00
_space_group_name_H-M_alt 'P 1'
_space_group_IT_number 1
loop_
_space_group_symop_operation_xyz
'x,y,z'
loop_
_atom_site_label
_atom_site_type_symbol
_atom_site_fract_x
_atom_site_fract_y
_atom_site_fract_z
Pu1 Pu 0.000 0.000 0.000
Sc1 Sc 0.500 0.500 0.500
Si1 Si 0.750 0.750 0.750
Au1 Au 0.250 0.250 0.250
```

=====

No. 8
VASP calculation (GGA-PBE) on a relaxed structure of PuScSnAu.

Calculated values
Raw total energy, eV per cell: -29.8
Density, g cm⁻³: 10.6
E_form, meV per atom: -475
SG: F-43m (216)
Crystal system: cubic

```
data_PuScSnAu
_cell_length_a 5.120
_cell_length_b 5.120
_cell_length_c 5.120
_cell_angle_alpha 60.00
_cell_angle_beta 60.00
_cell_angle_gamma 60.00
_space_group_name_H-M_alt 'P 1'
_space_group_IT_number 1
loop_
_space_group_symop_operation_xyz
'x,y,z'
loop_
_atom_site_label
_atom_site_type_symbol
_atom_site_fract_x
_atom_site_fract_y
_atom_site_fract_z
Pu1 Pu 0.000 0.000 0.000
Sc1 Sc 0.500 0.500 0.500
Sn1 Sn 0.750 0.750 0.750
Au1 Au 0.250 0.250 0.250
```

=====

No. 9
VASP calculation (GGA-PBE) on a relaxed structure of PuScTlAu.

Calculated values
Raw total energy, eV per cell: -27.9
Density, g cm⁻³: 12.1
E_form, meV per atom: -387
SG: P4mm (99)
Crystal system: tetragonal
Energy above the most stable polymorph in this dataset, eV/atom: 0.0000

```
data_PuScTlAu
_cell_length_a 3.472
_cell_length_b 3.472
_cell_length_c 7.829
_cell_angle_alpha 90.00
_cell_angle_beta 90.00
_cell_angle_gamma 90.00
_space_group_name_H-M_alt 'P 1'
_space_group_IT_number 1
loop_
_space_group_symop_operation_xyz
'x,y,z'
loop_
_atom_site_label
_atom_site_type_symbol
_atom_site_fract_x
_atom_site_fract_y
_atom_site_fract_z
Pu1 Pu 0.000 0.000 0.000
Sc1 Sc 0.000 0.000 0.546
Tl1 Tl 0.500 0.500 0.291
Au1 Au 0.500 0.500 0.732
```

=====

No. 10
VASP calculation (GGA-PBE) on a relaxed structure of PuScTlAu.

Calculated values
Raw total energy, eV per cell: -27.4
Density, g cm⁻³: 11.9
E_form, meV per atom: -270
SG: F-43m (216)
Crystal system: cubic
Energy above the most stable polymorph in this dataset, eV/atom: 0.1165

```
data_PuScTlAu
_cell_length_a 5.144
_cell_length_b 5.144
_cell_length_c 5.144
_cell_angle_alpha 60.00
_cell_angle_beta 60.00
_cell_angle_gamma 60.00
_space_group_name_H-M_alt 'P 1'
_space_group_IT_number 1
loop_
_space_group_symop_operation_xyz
'x,y,z'
loop_
_atom_site_label
_atom_site_type_symbol
_atom_site_fract_x
_atom_site_fract_y
_atom_site_fract_z
Pu1 Pu 0.000 0.000 0.000
Sc1 Sc 0.500 0.500 0.500
Tl1 Tl 0.250 0.250 0.250
Au1 Au 0.750 0.750 0.750
```

=====

No. 11
VASP calculation (GGA-PBE) on a relaxed structure of PuScZnAu.

Calculated values
Raw total energy, eV per cell: -26.5
Density, g cm⁻³: 10.5
E_form, meV per atom: -317
SG: F-43m (216)
Crystal system: cubic

```
data_PuScZnAu
_cell_length_a 4.973
_cell_length_b 4.973
_cell_length_c 4.973
_cell_angle_alpha 60.00
_cell_angle_beta 60.00
_cell_angle_gamma 60.00
_space_group_name_H-M_alt 'P 1'
_space_group_IT_number 1
loop_
_space_group_symop_operation_xyz
'x,y,z'
loop_
_atom_site_label
_atom_site_type_symbol
_atom_site_fract_x
_atom_site_fract_y
_atom_site_fract_z
Pu1 Pu 0.000 0.000 0.000
Sc1 Sc 0.500 0.500 0.500
Zn1 Zn 0.250 0.250 0.250
Au1 Au 0.750 0.750 0.750
```